Below is crystalline ZnTePd3 at its relaxed geometry, with properties calculated at the PBE level.

Cell lengths 4.6567, 4.6567, 4.6567 Å; angles 90.00, 90.00, 90.00 degrees
Positions (direct):
Zn  0.0000  0.0000  0.0000
Te  0.5000  0.5000  0.5000
Pd  0.0000  0.5000  0.0000
Pd  0.0000  0.0000  0.5000
Pd  0.5000  0.0000  0.0000

## Properties
symmetry: Pm-3m (221)
polymorph energy (0 for the lowest one): 578 meV/atom
uncorrected energy: -18.84 eV per cell
N(E_F): 0.53 states/eV/atom
M_tot: 0.00 μB/f.u.
formation energy from raw total energies: 231 meV/atom


Below is crystalline ZrIn5 at its relaxed geometry, with properties calculated at the PBE level.

Cell lengths 5.5891, 5.5891, 5.5504 Å; angles 90.00, 90.00, 120.00 degrees
Last column: magnetic moment on the atom in μB.
Positions (direct):
Zr  0.0000  0.0000  0.5000  0.94
In  0.6773  0.0000  0.0000  0.05
In  0.3227  0.3227  0.0000  0.05
In  0.0000  0.6773  0.0000  0.05
In  0.6667  0.3333  0.5000  0.04
In  0.3333  0.6667  0.5000  0.04

## Properties
symmetry: P-62m (189)
polymorph energy (0 for the lowest one): 123 meV/atom
uncorrected energy: -21.80 eV per cell
N(E_F): 0.76 states/eV/atom
M_tot: 2.04 μB/f.u.
formation energy: 0.0730 eV/atom


Please write out number 2 again, unchanged.
Below is crystalline ZrIn5 at its relaxed geometry, with properties calculated at the PBE level.

Cell lengths 5.5891, 5.5891, 5.5504 Å; angles 90.00, 90.00, 120.00 degrees
Last column: magnetic moment on the atom in μB.
Positions (direct):
Zr  0.0000  0.0000  0.5000  0.94
In  0.6773  0.0000  0.0000  0.05
In  0.3227  0.3227  0.0000  0.05
In  0.0000  0.6773  0.0000  0.05
In  0.6667  0.3333  0.5000  0.04
In  0.3333  0.6667  0.5000  0.04

## Properties
symmetry: P-62m (189)
polymorph energy (0 for the lowest one): 123 meV/atom
uncorrected energy: -21.80 eV per cell
N(E_F): 0.76 states/eV/atom
M_tot: 2.04 μB/f.u.
formation energy: 0.0730 eV/atom